A plane-wave DFT calculation with PBE was carried out for a geometry-optimized LuNbNiIr structure.

The structure in CIF format:
```
data_LuNbNiIr
_chemical_formula_sum 'Lu4 Nb4 Ni4 Ir4'
_cell_length_a 6.483
_cell_length_b 6.483
_cell_length_c 6.483
_cell_angle_alpha 90.00
_cell_angle_beta 90.00
_cell_angle_gamma 90.00
_symmetry_space_group_name_H-M 'F -4 3 m'
_symmetry_Int_Tables_number 216
_symmetry_space_group_name_Hall 'F -4 2 3'
loop_
_atom_site_label
_atom_site_type_symbol
_atom_site_fract_x
_atom_site_fract_y
_atom_site_fract_z
Lu1 Lu 0.000 0.000 0.000
Nb1 Nb 0.000 0.000 0.500
Ni1 Ni 0.250 0.250 0.750
Ir1 Ir 0.250 0.250 0.250
```

Calculated values
Density of states at the Fermi level in states/eV/atom: 1.117
Calculated formation energy in eV/atom: -0.404
DFT total energy in eV for the cell shown: -123.4


A plane-wave DFT calculation with PBE was carried out for a geometry-optimized LuNbIrOs structure.

The structure in CIF format:
```
data_LuNbIrOs
_chemical_formula_sum 'Lu4 Nb4 Ir4 Os4'
_cell_length_a 6.533
_cell_length_b 6.533
_cell_length_c 6.533
_cell_angle_alpha 90.00
_cell_angle_beta 90.00
_cell_angle_gamma 90.00
_symmetry_space_group_name_H-M 'F -4 3 m'
_symmetry_Int_Tables_number 216
_symmetry_space_group_name_Hall 'F -4 2 3'
loop_
_atom_site_label
_atom_site_type_symbol
_atom_site_fract_x
_atom_site_fract_y
_atom_site_fract_z
Lu1 Lu 0.000 0.000 0.000
Nb1 Nb 0.000 0.000 0.500
Ir1 Ir 0.250 0.250 0.750
Os1 Os 0.250 0.250 0.250
```

Calculated values
Density of states at the Fermi level in states/eV/atom: 0.930
Calculated formation energy in eV/atom: -0.392
DFT total energy in eV for the cell shown: -145.0


A plane-wave DFT calculation with PBE was carried out for a geometry-optimized NdLuIr structure.

The structure in CIF format:
```
data_NdLuIr
_chemical_formula_sum 'Nd2 Lu2 Ir2'
_cell_length_a 3.483
_cell_length_b 3.483
_cell_length_c 12.786
_cell_angle_alpha 90.00
_cell_angle_beta 90.00
_cell_angle_gamma 90.00
_symmetry_space_group_name_H-M 'I 4 m m'
_symmetry_Int_Tables_number 107
_symmetry_space_group_name_Hall 'I 4 -2'
loop_
_atom_site_label
_atom_site_type_symbol
_atom_site_fract_x
_atom_site_fract_y
_atom_site_fract_z
Nd1 Nd 0.000 0.000 0.000
Lu1 Lu 0.000 0.000 0.257
Ir1 Ir 0.000 0.000 0.641
```

Calculated values
Density of states at the Fermi level in states/eV/atom: 1.320
Calculated formation energy in eV/atom: -0.523
Relative energy among the computed polymorphs in kJ per mole of atoms: 9.9
DFT total energy in eV for the cell shown: -39.4


A plane-wave DFT calculation with PBE was carried out for a geometry-optimized NdLu2Ir structure.

The structure in CIF format:
```
data_NdLu2Ir
_chemical_formula_sum 'Nd1 Lu2 Ir1'
_cell_length_a 3.424
_cell_length_b 3.424
_cell_length_c 8.776
_cell_angle_alpha 90.00
_cell_angle_beta 90.00
_cell_angle_gamma 90.00
_symmetry_space_group_name_H-M 'P 4/m m m'
_symmetry_Int_Tables_number 123
_symmetry_space_group_name_Hall '-P 4 2'
loop_
_atom_site_label
_atom_site_type_symbol
_atom_site_fract_x
_atom_site_fract_y
_atom_site_fract_z
Nd1 Nd 0.000 0.000 0.000
Lu1 Lu 0.500 0.500 0.317
Ir1 Ir 0.000 0.000 0.500
```

Calculated values
Density of states at the Fermi level in states/eV/atom: 1.164
Calculated formation energy in eV/atom: -0.505
DFT total energy in eV for the cell shown: -24.7


A plane-wave DFT calculation with PBE was carried out for a geometry-optimized NdLuIr4 structure.

The structure in CIF format:
```
data_NdLuIr4
_chemical_formula_sum 'Nd4 Lu4 Ir16'
_cell_length_a 7.608
_cell_length_b 7.608
_cell_length_c 7.608
_cell_angle_alpha 90.00
_cell_angle_beta 90.00
_cell_angle_gamma 90.00
_symmetry_space_group_name_H-M 'F -4 3 m'
_symmetry_Int_Tables_number 216
_symmetry_space_group_name_Hall 'F -4 2 3'
loop_
_atom_site_label
_atom_site_type_symbol
_atom_site_fract_x
_atom_site_fract_y
_atom_site_fract_z
Nd1 Nd 0.000 0.000 0.000
Lu1 Lu 0.250 0.250 0.250
Ir1 Ir 0.125 0.125 0.625
```

Calculated values
Density of states at the Fermi level in states/eV/atom: 0.833
Calculated formation energy in eV/atom: -0.749
DFT total energy in eV for the cell shown: -196.9


A plane-wave DFT calculation with PBE was carried out for a geometry-optimized Nd2LuIr structure.

The structure in CIF format:
```
data_Nd2LuIr
_chemical_formula_sum 'Nd6 Lu3 Ir3'
_cell_length_a 3.7921
_cell_length_b 3.7921
_cell_length_c 31.8617
_cell_angle_alpha 90.00
_cell_angle_beta 90.00
_cell_angle_gamma 120.00
_symmetry_space_group_name_H-M 'R -3 m'
_symmetry_Int_Tables_number 166
_symmetry_space_group_name_Hall '-R 3 2"'
loop_
_atom_site_label
_atom_site_type_symbol
_atom_site_fract_x
_atom_site_fract_y
_atom_site_fract_z
Nd1 Nd 0.0000 0.0000 0.1107
Lu1 Lu 0.0000 0.0000 0.0000
Ir1 Ir 0.0000 0.0000 0.5000
```

Calculated values
Density of states at the Fermi level in states/eV/atom: 1.291
Calculated formation energy in eV/atom: -0.003
DFT total energy in eV for the cell shown: -68.8